# Cs2WClF6

A relaxed Cs2WClF6 crystal (PBE+U, the Alexandria database).

Unit cell a=5.5557 b=6.4019 c=8.3669 alpha=68.34 beta=70.86 gamma=64.91
Closest atoms and distances in Å follow each position.
Element x y z (fractional)
Cs  0.1998  0.2759  0.3232  7 F 3.18-3.47, 2 Cl 3.50-3.53
Cs  0.8002  0.7241  0.6768  7 F 3.18-3.47, 2 Cl 3.50-3.53
W  0.0000  0.0000  0.0000  6 F 1.93-1.97
Cl  0.5000  0.5000  0.5000  4 Cs 3.50-3.53, 4 F 3.85-3.89
F  0.1047  0.0288  0.7458  1 W 1.97
F  0.1201  0.2592  0.9621  1 W 1.93
F  0.3501  0.7577  0.0284  1 W 1.93
F  0.6499  0.2423  0.9716  1 W 1.93
F  0.8799  0.7408  0.0379  1 W 1.93
F  0.8953  0.9712  0.2542  1 W 1.97

Final energy (eV per cell): -48.38
Crystal system: triclinic
Calculated volume (Å³/cell): 245
Space-group type: No. 2